Record 1
A geometry-optimized IrPbW2Au structure. Source: Alexandria, functional PBE.

```
IrPbW2Au
1.0
4.803 0.000 0.000
0.000 5.166 0.000
0.000 0.000 4.803
Ir Au Pb W
1 1 1 2
direct
0.000 0.000 0.000
0.000 0.500 0.000
0.500 0.500 0.500
0.000 0.000 0.500
0.500 0.000 0.000
```

Values from the calculation:
* spin magnetization: 2.264 μB/cell
* space group: P4/mmm, No. 123
* formation energy: 1.498 eV/atom
* crystal system: tetragonal

---

Record 2
A geometry-optimized YIrPb2Au structure. Source: Alexandria, functional PBE.

```
YIrPb2Au
1.0
5.214 0.000 0.000
0.000 5.371 0.000
0.000 0.000 5.214
Y Ir Pb Au
1 1 2 1
direct
0.000 0.500 0.000
0.000 0.000 0.000
0.000 0.000 0.500
0.500 0.000 0.000
0.500 0.500 0.500
```

Values from the calculation:
* spin magnetization: 0.000 μB/cell
* space group: P4/mmm, No. 123
* formation energy: 0.035 eV/atom
* crystal system: tetragonal

---

Record 3
A geometry-optimized ZrIrPbAu2 structure. Source: Alexandria, functional PBE.

```
ZrIrPbAu2
1.0
5.072 0.000 0.000
0.000 5.051 0.000
0.000 0.000 5.072
Ir Au Pb Zr
1 2 1 1
direct
0.000 0.500 0.000
0.000 0.000 0.500
0.500 0.000 0.000
0.000 0.000 0.000
0.500 0.500 0.500
```

Values from the calculation:
* spin magnetization: 0.002 μB/cell
* space group: P4/mmm, No. 123
* formation energy: 1.173 eV/atom
* crystal system: tetragonal

---

Record 4
A geometry-optimized IrPd2Au structure. Source: Alexandria, functional PBE.

```
IrPd2Au
1.0
0.000 3.168 3.168
3.168 0.000 3.168
3.168 3.168 0.000
Pd Au Ir
2 1 1
direct
0.750 0.750 0.750
0.250 0.250 0.250
0.500 0.500 0.500
0.000 0.000 0.000
```

Values from the calculation:
* spin magnetization: 0.000 μB/cell
* excess energy over the best structure of this formula in the dataset: 251.0 meV per atom
* space group: Fm-3m, No. 225
* formation energy: 0.313 eV/atom
* crystal system: cubic

---

Record 5
A geometry-optimized IrPd2Au structure. Source: Alexandria, functional PBE.

```
IrPd2Au
1.0
-2.349 -0.956 1.217
-1.467 -2.073 -1.209
3.656 -7.207 4.649
Au Pd Ir
1 2 1
direct
0.500 0.500 0.500
0.254 0.254 0.239
0.746 0.746 0.761
0.000 0.000 0.000
```

Values from the calculation:
* spin magnetization: 0.000 μB/cell
* excess energy over the best structure of this formula in the dataset: 0.0 meV per atom
* space group: R-3m, No. 166
* formation energy: 0.062 eV/atom
* crystal system: trigonal

---

Record 6
A geometry-optimized IrPdAu2 structure. Source: Alexandria, functional PBE.

```
IrPdAu2
1.0
2.774 0.000 0.000
1.387 2.403 0.000
1.387 0.801 10.325
Au Pd Ir
2 1 1
direct
0.911 0.911 0.266
0.089 0.089 0.734
0.500 0.500 0.500
0.000 0.000 0.000
```

Values from the calculation:
* spin magnetization: 1.392 μB/cell
* excess energy over the best structure of this formula in the dataset: 0.0 meV per atom
* space group: R-3m, No. 166
* formation energy: 0.341 eV/atom
* crystal system: trigonal

---

Record 7
A geometry-optimized Ir2PdAu structure. Source: Alexandria, functional PBE.

```
Ir2PdAu
1.0
2.505 -3.619 0.723
-0.707 -2.516 3.614
-1.781 -4.067 -0.427
Ir Au Pd
2 1 1
direct
0.250 0.250 0.250
0.750 0.750 0.750
0.500 0.500 0.500
0.000 0.000 0.000
```

Values from the calculation:
* spin magnetization: 0.000 μB/cell
* excess energy over the best structure of this formula in the dataset: 0.0 meV per atom
* space group: Fm-3m, No. 225
* formation energy: 0.541 eV/atom
* crystal system: cubic

---

Record 8
A geometry-optimized IrPd2Au structure. Source: Alexandria, functional PBE.

```
IrPd2Au
1.0
-1.465 0.561 5.650
-0.888 -5.786 0.344
4.333 -3.368 4.500
Ir Pd Au
2 4 2
direct
0.250 0.750 0.500
0.500 0.500 0.000
0.592 0.125 0.250
0.158 0.625 0.250
0.875 0.842 0.750
0.375 0.408 0.750
0.750 0.250 0.500
0.000 0.000 0.000
```

Values from the calculation:
* spin magnetization: 0.000 μB/cell
* excess energy over the best structure of this formula in the dataset: 1153.6 meV per atom
* space group: I-42d, No. 122
* formation energy: 1.216 eV/atom
* crystal system: tetragonal

---

Record 9
A geometry-optimized IrPd12Au3 structure. Source: Alexandria, functional PBE.

```
IrPd12Au3
1.0
-3.900 -0.811 0.024
0.738 -3.500 1.753
-1.343 6.874 14.294
Au Pd Ir
3 12 1
direct
0.000 0.000 0.500
0.000 0.000 0.246
0.000 0.000 0.754
0.500 0.000 0.881
0.500 0.500 0.752
0.500 0.000 0.626
0.500 0.500 0.000
0.000 0.500 0.119
0.000 0.500 0.626
0.500 0.000 0.374
0.500 0.500 0.500
0.000 0.500 0.374
0.500 0.500 0.248
0.500 0.000 0.119
0.000 0.500 0.881
0.000 0.000 0.000
```

Values from the calculation:
* spin magnetization: 0.000 μB/cell
* space group: P4/mmm, No. 123
* formation energy: 0.003 eV/atom
* crystal system: tetragonal

---

Record 10
A geometry-optimized Ir4PdAu2 structure. Source: Alexandria, functional PBE.

```
Ir4PdAu2
1.0
4.780 0.000 0.000
0.000 4.780 0.000
2.390 2.390 6.458
Ir Pd Au
4 1 2
direct
0.807 0.807 0.386
0.000 0.500 0.000
0.500 0.000 0.000
0.193 0.193 0.614
0.000 0.000 0.000
0.609 0.609 0.782
0.391 0.391 0.218
```

Values from the calculation:
* spin magnetization: 5.144 μB/cell
* space group: I4/mmm, No. 139
* formation energy: 1.866 eV/atom
* crystal system: tetragonal

---

Record 11
A geometry-optimized Ir3PdAu structure. Source: Alexandria, functional PBE.

```
Ir3PdAu
1.0
-3.607 -0.509 3.036
1.542 -4.346 1.105
2.664 1.828 3.471
Ir Pd Au
3 1 1
direct
0.000 0.000 0.500
0.500 0.000 0.000
0.000 0.500 0.000
0.000 0.000 0.000
0.500 0.500 0.500
```

Values from the calculation:
* spin magnetization: 3.458 μB/cell
* excess energy over the best structure of this formula in the dataset: 0.0 meV per atom
* space group: Pm-3m, No. 221
* formation energy: 2.172 eV/atom
* crystal system: cubic

---

Record 12
A geometry-optimized IrPdAu2 structure. Source: Alexandria, functional PBE.

```
IrPdAu2
1.0
3.865 0.000 0.000
0.000 3.865 0.000
1.933 1.933 9.577
Pd Au Ir
2 4 2
direct
0.500 0.500 0.000
0.250 0.750 0.500
0.629 0.125 0.250
0.121 0.625 0.250
0.375 0.371 0.750
0.875 0.879 0.750
0.000 0.000 0.000
0.750 0.250 0.500
```

Values from the calculation:
* spin magnetization: 0.000 μB/cell
* excess energy over the best structure of this formula in the dataset: 230.7 meV per atom
* space group: I-42d, No. 122
* formation energy: 0.572 eV/atom
* crystal system: tetragonal

---

Energy in eV/cell, matching the order above: -34.3; -25.8; -21.8; -21.3; -22.3; -19.2; -24.0; -35.3; -81.0; -34.1; -24.2; -36.6